A plane-wave DFT calculation with PBE-GGA was carried out for PPbW2 after structural relaxation.

abc: 4.210 4.210 18.096
angles: 90.00 90.00 90.00
Space group I-42d (No. 122)
One atom of each set of equivalent atoms:
P 0.000 0.000 0.000 [4 per cell]
Pb 0.000 0.000 0.500 [4 per cell]
W 0.171 0.250 0.125 [8 per cell]

ΔH_f (0 K), eV per atom: 0.874
Offset from the most stable computed form, meV per atom: 605

=====

A plane-wave DFT calculation with PBE-GGA was carried out for PPbW2 after structural relaxation.

abc: 8.647 3.198 5.878
angles: 90.00 102.19 90.00
Space group Cm (No. 8)
One atom of each set of equivalent atoms:
P 0.000 0.000 0.000 [2 per cell]
Pb 0.218 0.000 0.585 [2 per cell]
W 0.225 0.500 0.054 [2 per cell]
W 0.446 0.000 0.289 [2 per cell]

ΔH_f (0 K), eV per atom: 0.459
Offset from the most stable computed form, meV per atom: 190

=====

A plane-wave DFT calculation with PBE-GGA was carried out for PPbW after structural relaxation.

abc: 6.552 6.552 6.552
angles: 90.00 90.00 90.00
Space group F-43m (No. 216)
One atom of each set of equivalent atoms:
P 0.000 0.000 0.000 [4 per cell]
Pb 0.250 0.250 0.750 [4 per cell]
W 0.000 0.000 0.500 [4 per cell]

ΔH_f (0 K), eV per atom: 1.881
Offset from the most stable computed form, meV per atom: 1630

=====

A plane-wave DFT calculation with PBE-GGA was carried out for ZnPPbW2 after structural relaxation.

abc: 5.240 5.240 4.827
angles: 90.00 90.00 90.00
Space group P4/mmm (No. 123)
One atom of each set of equivalent atoms:
Zn 0.000 0.000 0.000 [1 per cell]
P 0.500 0.500 0.000 [1 per cell]
Pb 0.000 0.000 0.500 [1 per cell]
W 0.000 0.500 0.500 [2 per cell]

ΔH_f (0 K), eV per atom: 2.743